{
  "formula": "NiBi6Rh",
  "functional": "PBE",
  "state": "relaxed",
  "magnetic_moment_mub_per_fu": 0.00,
  "relative_energy_mev_per_atom": 0.0,
  "formation_energy_kcal_per_mol_atoms": -2.25,
  "space_group": "Pmc2_1, No. 26",
  "lattice": [[4.2098, 0.0000, 0.0000], [0.0000, 11.5403, 0.0000], [0.0000, 0.0000, 9.0242]],
  "species": ["Ni", "Ni", "Bi", "Bi", "Bi", "Bi", "Bi", "Bi", "Bi", "Bi", "Bi", "Bi", "Bi", "Bi", "Rh", "Rh"],
  "fractional_positions": [[0.0000, 0.2283, 0.0000], [0.0000, 0.7717, 0.5000], [0.0000, 0.1388, 0.3041], [0.0000, 0.1543, 0.7148], [0.0000, 0.4314, 0.1899], [0.0000, 0.5686, 0.6899], [0.0000, 0.8457, 0.2148], [0.0000, 0.8612, 0.8041], [0.5000, 0.0716, 0.0085], [0.5000, 0.3458, 0.4839], [0.5000, 0.3586, 0.8974], [0.5000, 0.6414, 0.3974], [0.5000, 0.6542, 0.9839], [0.5000, 0.9284, 0.5085], [0.5000, 0.2703, 0.1896], [0.5000, 0.7297, 0.6896]]
}